The following is a DFT calculation (GGA-PBE) of a relaxed structure of Th4GePd15.

## Properties
Energy of formation in eV/atom: -0.81
Crystal system: tetragonal
Total magnetic moment in μB/atom: 0.000

Structure (POSCAR):
```
Th4GePd15
1.0
4.1927 0.0000 0.0000
0.0000 4.1927 0.0000
0.0000 0.0000 20.5695
Th Ge Pd
4 1 15
Direct
0.0000 0.0000 0.1041 Th
0.0000 0.0000 0.3118 Th
0.0000 0.0000 0.6882 Th
0.0000 0.0000 0.8959 Th
0.0000 0.0000 0.5000 Ge
0.0000 0.5000 0.0000 Pd
0.0000 0.5000 0.2052 Pd
0.0000 0.5000 0.4098 Pd
0.0000 0.5000 0.5902 Pd
0.0000 0.5000 0.7948 Pd
0.5000 0.0000 0.0000 Pd
0.5000 0.0000 0.2052 Pd
0.5000 0.0000 0.4098 Pd
0.5000 0.0000 0.5902 Pd
0.5000 0.0000 0.7948 Pd
0.5000 0.5000 0.1024 Pd
0.5000 0.5000 0.3071 Pd
0.5000 0.5000 0.5000 Pd
0.5000 0.5000 0.6929 Pd
0.5000 0.5000 0.8976 Pd
```

***

The following is a DFT calculation (GGA-PBE) of a relaxed structure of Th2GePd.

## Properties
Energy of formation in eV/atom: -0.74
Crystal system: monoclinic
Total magnetic moment in μB/atom: 0.000

Structure (POSCAR):
```
Th2GePd
1.0
6.1078 0.0000 0.0000
0.0000 4.2108 0.0000
-2.8823 0.0000 7.8311
Th Ge Pd
4 2 2
Direct
0.2111 0.2500 0.4098 Th
0.2141 0.2500 0.9405 Th
0.7859 0.7500 0.0595 Th
0.7889 0.7500 0.5902 Th
0.3273 0.7500 0.7020 Ge
0.6727 0.2500 0.2980 Ge
0.3713 0.7500 0.2159 Pd
0.6287 0.2500 0.7841 Pd
```